An optimized crystal structure of LaTmMgTl. Source: the Alexandria database, functional PBE-GGA.

```
LaTmMgTl
1.0
5.460 0.000 0.000
2.730 4.729 0.000
2.730 1.576 4.458
Tm Tl La Mg
1 1 1 1
Cartesian
2.730 1.576 1.115 Tm
0.000 0.000 0.000 Tl
8.190 4.729 3.344 La
5.460 3.152 2.229 Mg
```

Computed properties:
**Magnetic moment**: 0.0 μB/cell
**ΔH_f (0 K)**: -0.239 eV per atom
**N(E_F)**: 3.746 states/eV/f.u.